Entry 1:
# AlSi2Cl (GGA-PBE, relaxed)
data_AlSi2Cl
_cell_length_a 7.2842
_cell_length_b 3.2220
_cell_length_c 7.4547
_cell_angle_alpha 90.00
_cell_angle_beta 103.45
_cell_angle_gamma 90.00
_space_group_name_H-M_alt 'P 1 m 1'
_space_group_IT_number 6
loop_
_space_group_symop_operation_xyz
'x,y,z'
'x,-y,z'
loop_
_atom_site_label
_atom_site_type_symbol
_atom_site_fract_x
_atom_site_fract_y
_atom_site_fract_z
Al1 Al 0.0000 0.0000 0.0000
Al2 Al 0.4387 0.5000 0.5888
Si1 Si 0.3531 0.0000 0.0829
Si2 Si 0.5401 0.5000 0.2868
Si3 Si 0.5525 0.0000 0.8726
Si4 Si 0.7580 0.5000 0.0947
Cl1 Cl 0.1996 0.0000 0.4800
Cl2 Cl 0.9587 0.5000 0.7588
# Polymorph energy (0 for the lowest one): 0.89 eV per formula unit
# Formation energy without anion corrections: -0.18 eV/atom

---

Entry 2:
# AlSi2Cl (GGA-PBE, relaxed)
data_AlSi2Cl
_cell_length_a 4.0763
_cell_length_b 5.1734
_cell_length_c 11.4136
_cell_angle_alpha 98.21
_cell_angle_beta 96.00
_cell_angle_gamma 100.92
_space_group_name_H-M_alt 'P -1'
_space_group_IT_number 2
loop_
_space_group_symop_operation_xyz
'x,y,z'
'-x,-y,-z'
loop_
_atom_site_label
_atom_site_type_symbol
_atom_site_fract_x
_atom_site_fract_y
_atom_site_fract_z
Al1 Al 0.1805 0.1101 0.1893
Si1 Si 0.2404 0.4659 0.0586
Si2 Si 0.3978 0.1002 0.9194
Cl1 Cl 0.2415 0.1874 0.3769
# Polymorph energy (0 for the lowest one): 0.56 eV per formula unit
# Formation energy without anion corrections: -0.26 eV/atom

---

Entry 3:
# AlSiCl2 (GGA-PBE, relaxed)
data_AlSiCl2
_cell_length_a 3.4095
_cell_length_b 3.7214
_cell_length_c 8.3351
_cell_angle_alpha 90.00
_cell_angle_beta 90.00
_cell_angle_gamma 90.00
_space_group_name_H-M_alt 'P m m 2'
_space_group_IT_number 25
loop_
_space_group_symop_operation_xyz
'x,y,z'
'-x,-y,z'
'-x,y,z'
'x,-y,z'
loop_
_atom_site_label
_atom_site_type_symbol
_atom_site_fract_x
_atom_site_fract_y
_atom_site_fract_z
Al1 Al 0.0000 0.0000 0.0000
Si1 Si 0.5000 0.5000 0.1046
Cl1 Cl 0.0000 0.0000 0.7472
Cl2 Cl 0.5000 0.5000 0.3516
# Polymorph energy (0 for the lowest one): 0.00 eV per formula unit
# Formation energy without anion corrections: -0.60 eV/atom

---

Entry 4:
# AlSiCl (GGA-PBE, relaxed)
data_AlSiCl
_cell_length_a 3.6151
_cell_length_b 4.8098
_cell_length_c 9.6025
_cell_angle_alpha 99.53
_cell_angle_beta 95.75
_cell_angle_gamma 96.24
_space_group_name_H-M_alt 'P 1'
_space_group_IT_number 1
loop_
_space_group_symop_operation_xyz
'x,y,z'
loop_
_atom_site_label
_atom_site_type_symbol
_atom_site_fract_x
_atom_site_fract_y
_atom_site_fract_z
Al1 Al 0.0000 0.0000 0.0000
Al2 Al 0.2061 0.7825 0.6712
Si1 Si 0.1751 0.2663 0.8126
Si2 Si 0.7143 0.5823 0.8214
Cl1 Cl 0.1508 0.6606 0.4468
Cl2 Cl 0.5553 0.0625 0.1617
# Polymorph energy (0 for the lowest one): 0.47 eV per formula unit
# Formation energy without anion corrections: -0.41 eV/atom